The following is a DFT calculation (GGA+U) of crystalline BaCo2O3 at its relaxed geometry.

Output
Calculated volume: 13.33 Å³/atom
Crystal system: orthorhombic
E_tot: -71.7 eV per cell
M_tot: 6.00 μB per formula unit

Unit cell a=3.4862 b=4.3621 c=10.5194 alpha=90.00 beta=90.00 gamma=90.00
Space group Immm (No. 71)
Unique sites:
Ba 0.0000 0.0000 0.0000 [2 per cell]
Co 0.0000 0.0000 0.3116 [4 per cell]
O 0.0000 0.0000 0.5000 [2 per cell]
O 0.0000 0.5000 0.2854 [4 per cell]